No. 1
Entry from the Alexandria database: crystalline Rb11CdAu5 at its relaxed geometry (GGA-PBE).

Properties
Its total energy is -30.3 eV/cell. Its density of states at the Fermi level is 12.7 states/eV/f.u. For the volume, the calculation gives 51.9 Å³ per atom.

abc: 10.377 10.377 8.811
angles: 102.20 102.20 100.17
Element x y z (fractional)
Rb1 0.000 0.000 0.000
Rb2 0.148 0.694 0.206
Rb3 0.176 0.426 0.587
Rb4 0.306 0.852 0.794
Rb5 0.333 0.333 0.110
Rb6 0.426 0.176 0.587
Rb7 0.574 0.824 0.413
Rb8 0.667 0.667 0.890
Rb9 0.694 0.148 0.206
Rb10 0.824 0.574 0.413
Rb11 0.852 0.306 0.794
Cd1 0.000 0.000 0.500
Au1 0.004 0.351 0.192
Au2 0.351 0.004 0.192
Au3 0.500 0.500 0.500
Au4 0.649 0.996 0.808
Au5 0.996 0.649 0.808

No. 2
Entry from the Alexandria database: crystalline Al2IrSe at its relaxed geometry (GGA-PBE).

Properties
Its density of states at the Fermi level is 1.3 states/eV/f.u. The formation energy from raw total energies comes out at -529.3 meV per atom. For the volume, the calculation gives 20.0 Å³ per atom.

abc: 2.876 3.894 7.138
angles: 90.00 90.00 90.00
Element x y z (fractional)
Al1 0.000 0.000 0.000
Al2 0.000 0.500 0.371
Ir1 0.500 0.500 0.095
Se1 0.000 0.000 0.606

No. 3
Entry from the Alexandria database: crystalline TaTc2Ge2 at its relaxed geometry (GGA-PBE).

Properties
Its density of states at the Fermi level is 3.9 states/eV/f.u. The excess energy over the best structure of this formula in the dataset is 0.000 eV per atom. For the volume, the calculation gives 15.4 Å³ per atom.

abc: 7.128 7.128 3.027
angles: 90.00 90.00 90.00
Element x y z (fractional)
Ta1 0.000 0.000 0.000
Ta2 0.500 0.500 0.000
Tc1 0.150 0.350 0.500
Tc2 0.350 0.850 0.500
Tc3 0.650 0.150 0.500
Tc4 0.850 0.650 0.500
Ge1 0.146 0.646 0.000
Ge2 0.354 0.146 0.000
Ge3 0.646 0.854 0.000
Ge4 0.854 0.354 0.000

No. 4
Entry from the Alexandria database: crystalline Nd15Ge9C at its relaxed geometry (GGA-PBE).

Properties
Its total energy is -279.7 eV/cell. Its density of states at the Fermi level is 18.5 states/eV/f.u. For the volume, the calculation gives 27.5 Å³ per atom.

abc: 15.247 15.247 6.841
angles: 90.00 90.00 120.00
Element x y z (fractional)
Nd1 0.021 0.344 0.000
Nd2 0.021 0.677 0.000
Nd3 0.081 0.162 0.725
Nd4 0.081 0.919 0.725
Nd5 0.162 0.081 0.225
Nd6 0.175 0.587 0.725
Nd7 0.255 0.509 0.289
Nd8 0.255 0.745 0.289
Nd9 0.323 0.344 0.000
Nd10 0.323 0.979 0.000
Nd11 0.344 0.021 0.500
Nd12 0.344 0.323 0.500
Nd13 0.413 0.587 0.725
Nd14 0.413 0.825 0.725
Nd15 0.491 0.745 0.289
Nd16 0.509 0.255 0.789
Nd17 0.587 0.175 0.225
Nd18 0.587 0.413 0.225
Nd19 0.656 0.677 0.000
Nd20 0.656 0.979 0.000
Nd21 0.677 0.021 0.500
Nd22 0.677 0.656 0.500
Nd23 0.745 0.255 0.789
Nd24 0.745 0.491 0.789
Nd25 0.825 0.413 0.225
Nd26 0.838 0.919 0.725
Nd27 0.919 0.081 0.225
Nd28 0.919 0.838 0.225
Nd29 0.979 0.323 0.500
Nd30 0.979 0.656 0.500
Ge1 0.065 0.533 0.268
Ge2 0.132 0.264 0.279
Ge3 0.132 0.868 0.279
Ge4 0.198 0.397 0.707
Ge5 0.198 0.802 0.707
Ge6 0.264 0.132 0.779
Ge7 0.397 0.198 0.207
Ge8 0.467 0.533 0.268
Ge9 0.467 0.935 0.268
Ge10 0.533 0.065 0.768
Ge11 0.533 0.467 0.768
Ge12 0.603 0.802 0.707
Ge13 0.736 0.868 0.279
Ge14 0.802 0.198 0.207
Ge15 0.802 0.603 0.207
Ge16 0.868 0.132 0.779
Ge17 0.868 0.736 0.779
Ge18 0.935 0.467 0.768
C1 0.333 0.667 0.504
C2 0.667 0.333 0.004

No. 5
Entry from the Alexandria database: crystalline Tb6Sm2Tm5 at its relaxed geometry (GGA-PBE).

Properties
Its total energy is -116.6 eV/cell. Its density of states at the Fermi level is 16.1 states/eV/f.u. For the volume, the calculation gives 32.1 Å³ per atom.

abc: 11.631 20.080 3.574
angles: 90.00 90.00 90.00
Element x y z (fractional)
Tb1 0.058 0.079 0.000
Tb2 0.082 0.366 0.000
Tb3 0.175 0.629 0.500
Tb4 0.325 0.129 0.500
Tb5 0.418 0.866 0.000
Tb6 0.442 0.579 0.000
Tb7 0.558 0.421 0.000
Tb8 0.582 0.134 0.000
Tb9 0.675 0.871 0.500
Tb10 0.825 0.371 0.500
Tb11 0.918 0.634 0.000
Tb12 0.942 0.921 0.000
Sm1 0.165 0.786 0.000
Sm2 0.335 0.286 0.000
Sm3 0.665 0.714 0.000
Sm4 0.835 0.214 0.000
Tm1 0.000 0.500 0.500
Tm2 0.095 0.224 0.500
Tm3 0.199 0.948 0.500
Tm4 0.301 0.448 0.500
Tm5 0.405 0.724 0.500
Tm6 0.500 0.000 0.500
Tm7 0.595 0.276 0.500
Tm8 0.699 0.552 0.500
Tm9 0.801 0.052 0.500
Tm10 0.905 0.776 0.500

No. 6
Entry from the Alexandria database: crystalline Pm5As2O12 at its relaxed geometry (GGA-PBE).

Properties
Its density of states at the Fermi level is 2.3 states/eV/f.u. The formation energy from raw total energies comes out at -2696.1 meV per atom. For the volume, the calculation gives 14.3 Å³ per atom.

abc: 6.979 6.979 7.512
angles: 105.49 105.49 51.11
Element x y z (fractional)
Pm1 0.000 0.000 0.000
Pm2 0.304 0.304 0.665
Pm3 0.305 0.305 0.141
Pm4 0.695 0.695 0.859
Pm5 0.696 0.696 0.335
As1 0.242 0.758 0.500
As2 0.758 0.242 0.500
O1 0.001 0.001 0.671
O2 0.096 0.597 0.922
O3 0.104 0.582 0.423
O4 0.403 0.904 0.078
O5 0.418 0.896 0.577
O6 0.499 0.499 0.672
O7 0.501 0.501 0.328
O8 0.582 0.104 0.423
O9 0.597 0.096 0.922
O10 0.896 0.418 0.577
O11 0.904 0.403 0.078
O12 0.999 0.999 0.329

No. 7
Entry from the Alexandria database: crystalline Sr3OsBr at its relaxed geometry (GGA-PBE).

Properties
Its density of states at the Fermi level is 6.0 states/eV/f.u. The excess energy over the best structure of this formula in the dataset is 0.000 eV per atom. The formation energy from raw total energies comes out at -18.6 meV per atom. For the volume, the calculation gives 39.2 Å³ per atom.

abc: 5.810 5.810 5.810
angles: 90.00 90.00 90.00
Element x y z (fractional)
Sr1 0.000 0.000 0.500
Sr2 0.000 0.500 0.000
Sr3 0.500 0.000 0.000
Os1 0.000 0.000 0.000
Br1 0.500 0.500 0.500

No. 8
Entry from the Alexandria database: crystalline Sr3PbO at its relaxed geometry (GGA-PBE).

Properties
Its density of states at the Fermi level is 0.2 states/eV/f.u. The excess energy over the best structure of this formula in the dataset is 0.000 eV per atom. The formation energy from raw total energies comes out at -1455.7 meV per atom. For the volume, the calculation gives 28.3 Å³ per atom.

abc: 5.210 5.210 5.210
angles: 90.00 90.00 90.00
Element x y z (fractional)
Sr1 0.000 0.000 0.500
Sr2 0.000 0.500 0.000
Sr3 0.500 0.000 0.000
Pb1 0.500 0.500 0.500
O1 0.000 0.000 0.000